[1]
KNd2TaO6 (PBE, relaxed); final energy = -8.260 eV/atom
1.0
6.2769 -2.8496 0.0000
6.2769 2.8496 0.0000
-2.3916 0.0000 8.3832
K Nd Ta O
2 4 2 12
Cartesian
0.3052 0.0000 4.0098
9.8571 0.0000 4.3735
-0.6033 0.0000 7.7876
3.2536 0.0000 6.6713
6.9087 0.0000 1.7119
10.7656 0.0000 0.5956
3.5746 0.0000 2.4991
6.5877 0.0000 5.8841
2.5547 1.3354 1.4044
4.9821 1.3371 2.4653
6.2769 1.4237 0.0000
5.1802 1.3371 5.9179
2.8740 0.0000 4.2137
2.5547 -1.3354 1.4044
7.6076 1.3354 6.9788
7.2883 0.0000 4.1696
4.9821 -1.3371 2.4653
6.2769 -1.4237 0.0000
5.1802 -1.3371 5.9179
7.6076 -1.3354 6.9788

---

[2]
KNdTeO (PBE, relaxed); energy above the most stable polymorph in this dataset = 224 meV per atom
1.0
2.0068 1.1586 7.5531
-2.0068 1.1586 7.5531
0.0000 -2.3173 7.5531
K Nd Te O
1 1 1 1
Cartesian
0.0000 0.0000 0.0000
0.0000 0.0000 12.0136
0.0000 0.0000 17.4798
0.0000 0.0000 5.3693

---

[3]
KNdTeO (PBE, relaxed); energy above the most stable polymorph in this dataset = 111 meV per atom
1.0
4.3544 0.0000 0.0000
0.0000 4.3544 0.0000
0.0000 0.0000 10.7901
K Nd Te O
2 2 2 2
Cartesian
1.0886 3.2658 0.0000
3.2658 1.0886 0.0000
1.0886 1.0886 4.3805
3.2658 3.2658 6.4096
1.0886 1.0886 8.2907
3.2658 3.2658 2.4993
1.0886 3.2658 5.3950
3.2658 1.0886 5.3950

---

Number 1: spin magnetization 0.013 μB/cell. Number 2: spin magnetization 0.000 μB/cell. Number 3: spin magnetization 0.001 μB/cell.